CoHg2Cl: relaxed, PBE.

Computed properties:
Energy above the lowest structure with this stoichiometry   80 meV per atom

The structure in POSCAR format:
```
CoHg2Cl
1.0
4.467 0.000 0.000
0.000 3.157 0.000
-2.219 0.000 6.651
Co Hg Cl
1 2 1
direct
0.000 0.000 0.000 Co
0.455 0.500 0.908 Hg
0.801 0.000 0.596 Hg
0.128 0.500 0.256 Cl
```

ThVP: relaxed, PBE.

Computed properties:
Formation enthalpy at 0 K   -0.58 eV/atom

The structure in POSCAR format:
```
ThVP
1.0
4.135 0.000 0.000
-2.067 3.581 0.000
0.000 0.000 4.075
Th V P
1 1 1
direct
0.000 0.000 0.000 Th
0.333 0.667 0.500 V
0.667 0.333 0.500 P
```

Dy3ZrGa12: relaxed, PBE.

Computed properties:
Formation enthalpy at 0 K   -0.52 eV/atom

The structure in POSCAR format:
```
Dy3ZrGa12
1.0
4.227 0.000 0.000
0.000 4.227 0.000
0.000 0.000 17.017
Dy Zr Ga
3 1 12
direct
0.000 0.000 0.000 Dy
0.000 0.000 0.256 Dy
0.000 0.000 0.744 Dy
0.000 0.000 0.500 Zr
0.000 0.500 0.127 Ga
0.000 0.500 0.380 Ga
0.000 0.500 0.620 Ga
0.000 0.500 0.873 Ga
0.500 0.000 0.127 Ga
0.500 0.000 0.380 Ga
0.500 0.000 0.620 Ga
0.500 0.000 0.873 Ga
0.500 0.500 0.000 Ga
0.500 0.500 0.251 Ga
0.500 0.500 0.500 Ga
0.500 0.500 0.749 Ga
```

Ac2HoRh4Pb3: relaxed, PBE.

Computed properties:
Formation enthalpy at 0 K   -0.52 eV/atom

The structure in POSCAR format:
```
Ac2HoRh4Pb3
1.0
4.547 0.000 0.000
0.000 4.547 0.000
0.000 0.000 11.863
Ac Ho Rh Pb
2 1 4 3
direct
0.000 0.500 0.238 Ac
0.500 0.000 0.762 Ac
0.000 0.000 0.500 Ho
0.000 0.000 0.000 Rh
0.000 0.500 0.644 Rh
0.500 0.000 0.356 Rh
0.500 0.500 0.000 Rh
0.000 0.500 0.874 Pb
0.500 0.000 0.126 Pb
0.500 0.500 0.500 Pb
```